Run one
Material: KLiAl2
Method: DFT, PBE
State: relaxed

Structure (POSCAR):
```
KLiAl2
1.0
-4.0070 -3.8478 3.5560
0.7406 -6.5460 -0.3285
2.0111 6.0753 1.5977
K Li Al
1 1 2
Direct
0.5139 0.5139 0.0000
0.2042 0.7042 0.5000
0.7923 0.2923 0.5000
0.9896 0.9896 0.0000
```

Summary:
* size of the total moment: 0.00 μB/cell

***

Run two
Material: KLiAl2
Method: DFT, PBE
State: relaxed

Structure (POSCAR):
```
KLiAl2
1.0
4.8961 0.0000 0.0000
0.0000 4.8961 0.0000
2.4480 2.4480 10.3182
K Al Li
2 4 2
Direct
0.0000 0.0000 0.0000
0.7500 0.2500 0.5000
0.4510 0.6250 0.2500
0.3750 0.7010 0.7500
0.8750 0.5490 0.7500
0.2990 0.1250 0.2500
0.2500 0.7500 0.5000
0.5000 0.5000 0.0000
```

Summary:
* size of the total moment: 0.00 μB/cell

***

Run three
Material: KLiAl2
Method: DFT, PBE
State: relaxed

Structure (POSCAR):
```
KLiAl2
1.0
3.2665 0.0020 0.0000
-0.0016 3.2665 0.0000
0.0000 0.0000 8.5435
Li K Al
1 1 2
Direct
0.5000 0.5000 0.7500
0.5000 0.5000 0.2500
0.0000 0.0000 0.5755
0.0000 0.0000 0.9245
```

Summary:
* size of the total moment: 0.00 μB/cell

***

run three is favored, and the nearest alternative lies 0.083 eV/atom above it.

***

Run one
Material: KLiAl2
Method: DFT, PBE
State: relaxed

Structure (POSCAR):
```
KLiAl2
1.0
-1.8544 -1.8080 -3.9016
-1.1990 -4.1249 -1.8648
-7.0725 0.1749 2.4749
Li Al K
1 2 1
Direct
0.2711 0.2711 0.1552
0.0015 0.0015 0.9914
0.7345 0.7345 0.8430
0.4929 0.4929 0.5104
```

Summary:
* size of the total moment: 0.00 μB/cell

***

Run two
Material: KLiAl2
Method: DFT, PBE
State: relaxed

Structure (POSCAR):
```
KLiAl2
1.0
-5.1594 -8.2121 4.3363
-2.4378 -8.4600 5.9454
-4.7090 -6.4951 6.9644
K Al Li
1 2 1
Direct
0.2500 0.2500 0.2500
0.0120 0.0120 0.0120
0.4880 0.4880 0.4880
0.7500 0.7500 0.7500
```

Summary:
* size of the total moment: 0.00 μB/cell

***

run one is favored, and the nearest alternative lies 0.202 eV/atom above it.

***

Run one
Material: KLiAl2
Method: DFT, PBE
State: relaxed

Structure (POSCAR):
```
KLiAl2
1.0
-6.3109 0.9736 0.8461
-4.4134 -4.6657 -0.4942
5.1324 2.7891 2.7150
Al K Li
2 1 1
Direct
0.0353 0.0353 0.0000
0.4647 0.4647 0.0000
0.7500 0.2500 0.5000
0.2500 0.7500 0.5000
```

Summary:
* size of the total moment: 0.00 μB/cell

***

Run two
Material: KLiAl2
Method: DFT, PBE
State: relaxed

Structure (POSCAR):
```
KLiAl2
1.0
5.0186 -0.0012 0.0000
0.0141 5.0186 0.0000
-2.5163 -2.5087 3.5441
K Li Al
1 1 2
Direct
0.5000 0.5000 0.0000
0.7500 0.2500 0.5000
0.0000 0.0000 0.0000
0.2500 0.7500 0.5000
```

Summary:
* size of the total moment: 0.00 μB/cell

***

run two is favored, and the nearest alternative lies 0.060 eV/atom above it.

***

Run one
Material: KLiAl2
Method: DFT, PBE
State: relaxed

Structure (POSCAR):
```
KLiAl2
1.0
4.4604 0.0000 0.0000
0.0000 3.1240 -0.0101
0.0000 0.5804 7.3479
Li Al K
1 2 1
Direct
0.5000 0.6751 0.8632
0.0000 0.1471 0.9792
0.5000 0.1173 0.1784
0.0000 0.5606 0.4792
```

Summary:
* size of the total moment: 0.00 μB/cell

***

Run two
Material: KLiAl2
Method: DFT, PBE
State: relaxed

Structure (POSCAR):
```
KLiAl2
1.0
0.1080 0.4058 5.1851
-3.0779 3.4360 2.4047
-4.0420 -1.6588 2.8236
K Al Li
1 2 1
Direct
0.5000 0.5000 0.5000
0.7500 0.7500 0.7500
0.2500 0.2500 0.2500
0.0000 0.0000 0.0000
```

Summary:
* size of the total moment: 0.00 μB/cell

***

run one is favored, and the nearest alternative lies 0.319 eV/atom above it.